# PBE+U MnBrNF2, relaxed
# energy = -3.9082 eV per atom
# V = 17.3 Å³ per atom
# DOS(E_F) = 2.00 states/eV/cell
# polymorph energy (0 for the lowest one) = 823 meV/atom
data_MnBrNF2
_cell_length_a 4.801
_cell_length_b 4.801
_cell_length_c 3.756
_cell_angle_alpha 90.00
_cell_angle_beta 90.00
_cell_angle_gamma 90.00
_symmetry_space_group_name_H-M 'P 4/m m m'
_symmetry_Int_Tables_number 123
_symmetry_space_group_name_Hall '-P 4 2'
loop_
_atom_site_label
_atom_site_type_symbol
_atom_site_fract_x
_atom_site_fract_y
_atom_site_fract_z
Mn1 Mn 0.000 0.000 0.000
Br1 Br 0.500 0.500 0.500
N1 N 0.500 0.500 0.000
F1 F 0.000 0.500 0.500